A plane-wave DFT calculation with PBE was carried out for a relaxed LiZrAl2 crystal.

Cell: 2.999 4.054 5.949 Å, 90.00 90.00 90.00°
Sites, in units of the cell vectors:
Al (0.000, 0.000, 0.007)
Al (0.500, 0.500, 0.254)
Li (0.000, 0.000, 0.478)
Zr (0.500, 0.500, 0.761)

Symmetry: No. 25
ΔH_f (0 K), meV per atom: -80


A plane-wave DFT calculation with PBE was carried out for a relaxed ScCrAu crystal.

Cell: 3.225 3.225 6.551 Å, 90.00 90.00 120.00°
Each line ends with the local moment (μB).
Sites, in units of the cell vectors:
Au (0.000, 0.000, 0.003)  0.06
Cr (0.667, 0.333, 0.327)  3.46
Sc (0.333, 0.667, 0.670)  -0.20

Excess energy over the best structure of this formula in the dataset, eV/atom: 0.291
Symmetry: No. 156
ΔH_f (0 K), meV per atom: 178


A plane-wave DFT calculation with PBE was carried out for a relaxed Tb3PmDy6Sc2 crystal.

Cell: 6.078 6.078 11.632 Å, 94.98 94.98 119.96°
Sites, in units of the cell vectors:
Tb (0.167, 0.833, 0.500)
Tb (0.833, 0.167, 0.500)
Tb (0.500, 0.500, 0.500)
Pm (0.000, 0.000, 0.000)
Dy (0.918, 0.582, 0.754)
Dy (0.746, 0.746, 0.246)
Dy (0.082, 0.418, 0.246)
Dy (0.582, 0.918, 0.754)
Dy (0.254, 0.254, 0.754)
Dy (0.418, 0.082, 0.246)
Sc (0.333, 0.667, 0.000)
Sc (0.667, 0.333, 0.000)

Symmetry: No. 12
ΔH_f (0 K), meV per atom: 35


A plane-wave DFT calculation with PBE was carried out for a relaxed Be5PRh6 crystal.

Cell: 3.979 6.865 6.865 Å, 119.85 106.86 106.86°
Sites, in units of the cell vectors:
Be (0.500, 0.174, 0.826)
Be (0.000, 0.332, 0.668)
Be (0.500, 0.500, 0.500)
Be (0.000, 0.668, 0.332)
Be (0.500, 0.826, 0.174)
Rh (0.249, 0.084, 0.414)
Rh (0.751, 0.586, 0.916)
Rh (0.748, 0.248, 0.248)
Rh (0.252, 0.752, 0.752)
Rh (0.249, 0.414, 0.084)
Rh (0.751, 0.916, 0.586)
P (0.000, 0.000, 0.000)

Symmetry: No. 71
ΔH_f (0 K), meV per atom: -705


A plane-wave DFT calculation with PBE was carried out for a relaxed CrCu2W crystal.

Cell: 4.213 4.213 4.213 Å, 60.00 60.00 60.00°
Each line ends with the local moment (μB).
Sites, in units of the cell vectors:
Cr (0.500, 0.500, 0.500)  0.47
Cu (0.000, 0.000, 0.000)  -0.04
Cu (0.250, 0.250, 0.250)  0.02
W (0.750, 0.750, 0.750)  -0.25

Excess energy over the best structure of this formula in the dataset, eV/atom: 0.227
Symmetry: No. 216
ΔH_f (0 K), meV per atom: 473


A plane-wave DFT calculation with PBE was carried out for a relaxed Ac14CeY crystal.

Cell: 7.876 7.876 11.213 Å, 90.00 90.00 89.99°
Each line ends with the local moment (μB).
Sites, in units of the cell vectors:
Ac (0.375, 0.625, 0.500)  0.00
Ac (0.875, 0.125, 0.500)  0.01
Ac (0.875, 0.625, 0.000)  0.02
Ac (0.876, 0.625, 0.500)  0.01
Ac (0.375, 0.125, 0.000)  0.02
Ac (0.375, 0.124, 0.500)  0.01
Ac (0.626, 0.876, 0.757)  0.02
Ac (0.626, 0.876, 0.243)  0.02
Ac (0.124, 0.374, 0.757)  0.02
Ac (0.124, 0.374, 0.243)  0.02
Ac (0.124, 0.876, 0.757)  0.02
Ac (0.124, 0.876, 0.243)  0.02
Ac (0.626, 0.374, 0.757)  0.02
Ac (0.626, 0.374, 0.243)  0.02
Ce (0.875, 0.125, 0.000)  1.01
Y (0.375, 0.625, 0.000)  0.01

Symmetry: No. 38
ΔH_f (0 K), meV per atom: 48


A plane-wave DFT calculation with PBE was carried out for a relaxed LuPaRu crystal.

Cell: 3.487 3.487 5.975 Å, 106.97 106.97 90.00°
Sites, in units of the cell vectors:
Ru (0.689, 0.689, 0.379)
Pa (0.304, 0.304, 0.608)
Lu (0.006, 0.006, 0.013)

Excess energy over the best structure of this formula in the dataset, eV/atom: 0.000
Symmetry: No. 107
ΔH_f (0 K), meV per atom: -324


A plane-wave DFT calculation with PBE was carried out for a relaxed SrLiNbN3 crystal.

Cell: 5.608 5.591 6.095 Å, 62.70 85.05 79.16°
Each line ends with the local moment (μB).
Sites, in units of the cell vectors:
Sr (0.250, 0.265, 0.469)  0.00
Sr (0.750, 0.735, 0.531)  0.00
Li (0.250, 0.567, 0.865)  0.00
Li (0.750, 0.433, 0.135)  0.00
Nb (0.750, 0.054, 0.892)  -0.06
Nb (0.250, 0.946, 0.108)  -0.06
N (0.497, 0.808, 0.912)  0.18
N (0.003, 0.281, 0.912)  0.18
N (0.750, 0.234, 0.533)  0.22
N (0.503, 0.192, 0.088)  0.18
N (0.997, 0.719, 0.088)  0.18
N (0.250, 0.766, 0.467)  0.22

Symmetry: No. 15


A plane-wave DFT calculation with PBE was carried out for a relaxed KSb2P crystal.

Cell: 4.063 4.063 7.064 Å, 90.00 90.00 90.00°
Sites, in units of the cell vectors:
K (0.000, 0.000, 0.507)
P (0.500, 0.500, 0.828)
Sb (0.000, 0.000, 0.979)
Sb (0.500, 0.500, 0.187)

Symmetry: No. 99


A plane-wave DFT calculation with PBE was carried out for a relaxed SnPbIO6 crystal.

Cell: 5.499 5.499 5.421 Å, 90.00 90.00 60.00°
Each line ends with the local moment (μB).
Sites, in units of the cell vectors:
Sn (0.667, 0.667, 0.500)  0.00
Pb (0.000, 0.000, 0.000)  0.02
I (0.333, 0.333, 0.500)  0.09
O (0.010, 0.370, 0.290)  0.09
O (0.370, 0.010, 0.710)  0.09
O (0.620, 0.370, 0.710)  0.09
O (0.010, 0.620, 0.710)  0.09
O (0.370, 0.620, 0.290)  0.09
O (0.620, 0.010, 0.290)  0.09

Symmetry: No. 149


Number 1: total magnetization 0.0 μB per cell, total DFT energy (no corrections) -18.3 eV per cell. Number 2: total magnetization 3.6 μB per cell, total DFT energy (no corrections) -18.7 eV per cell. Number 3: total magnetization 0.0 μB per cell, total DFT energy (no corrections) -58.5 eV per cell. Number 4: total magnetization 0.0 μB per cell, total DFT energy (no corrections) -76.6 eV per cell. Number 5: total magnetization 0.2 μB per cell, total DFT energy (no corrections) -28.9 eV per cell. Number 6: total magnetization 2.0 μB per cell, total DFT energy (no corrections) -69.1 eV per cell. Number 7: total magnetization 0.0 μB per cell, total DFT energy (no corrections) -24.3 eV per cell. Number 8: total magnetization 1.5 μB per cell, total DFT energy (no corrections) -85.8 eV per cell. Number 9: total magnetization 0.0 μB per cell, total DFT energy (no corrections) -14.5 eV per cell. Number 10: total magnetization 0.7 μB per cell, total DFT energy (no corrections) -46.9 eV per cell.